The following is a DFT calculation (PBE) of a relaxed structure of FeCoH3.

size of the total moment	2.5	μB per formula unit
DFT total energy	-24.0	eV per formula unit
ρ	6.19	Mg/m³

abc: 3.1611 3.1611 3.1611
angles: 90.00 90.00 90.00
Closest atoms and distances in Å follow each position.
Space group Pm-3m (No. 221)
Asymmetric unit:
Fe1 0.0000 0.0000 0.0000 (multiplicity 1)  6 H 1.58
Co1 0.5000 0.5000 0.5000 (multiplicity 1)  12 H 2.24
H1 0.0000 0.0000 0.5000 (multiplicity 3)  2 Fe 1.58

***

The following is a DFT calculation (PBE) of a relaxed structure of FeCoH2.

size of the total moment	3.4	μB per formula unit
DFT total energy	-22.0	eV per formula unit
ΔE to the lowest computed polymorph	77	meV per atom
ρ	6.79	Mg/m³

abc: 3.8594 3.8594 7.6697
angles: 90.00 90.00 90.00
Closest atoms and distances in Å follow each position.
Space group I-42d (No. 122)
Asymmetric unit:
Fe1 0.0000 0.0000 0.0000 (multiplicity 4)  4 H 1.70
Co1 0.0000 0.0000 0.5000 (multiplicity 4)  4 H 1.64
H1 0.2376 0.2500 0.6250 (multiplicity 8)  2 Co 1.64, 2 Fe 1.70